[1]
A geometry-optimized RbMoRh2 structure. Source: Alexandria via LeMat-Bulk, functional PBE-GGA.

```
RbMoRh2
1.0
2.3051 -2.7771 -3.0010
2.0896 -3.9069 1.5497
-1.7546 -4.2051 -1.1270
Mo Rh Rb
1 2 1
Direct
0.5000 0.5000 0.5000
0.2500 0.2500 0.2500
0.7500 0.7500 0.7500
0.0000 0.0000 0.0000
```

Properties
Size of the total moment   0.00 Bohr magnetons per cell
Formation enthalpy at 0 K   118.1 kJ per mole of atoms
Symmetry   No. 225
Relative energy among the computed polymorphs   1.00 eV per formula unit
Density of states at the Fermi level   1.183 states/eV/atom
Total energy   -5.401 eV/atom

=====

[2]
A geometry-optimized Rb2MoRh structure. Source: Alexandria via LeMat-Bulk, functional PBE-GGA.

```
Rb2MoRh
1.0
12.9556 0.0000 0.0000
0.0000 12.9556 0.0000
6.4778 6.4778 2.3846
Mo Rh Rb
2 2 4
Direct
0.5000 0.5000 0.0000
0.2500 0.7500 0.5000
0.0000 0.0000 0.0000
0.7500 0.2500 0.5000
0.8071 0.1250 0.2500
0.9429 0.6250 0.2500
0.3750 0.1929 0.7500
0.8750 0.0571 0.7500
```

Properties
Size of the total moment   7.93 Bohr magnetons per cell
Formation enthalpy at 0 K   109.6 kJ per mole of atoms
Symmetry   No. 122
Relative energy among the computed polymorphs   0.00 eV per formula unit
Density of states at the Fermi level   1.064 states/eV/atom
Total energy   -3.893 eV/atom

=====

[3]
A geometry-optimized RbMoRh2 structure. Source: Alexandria via LeMat-Bulk, functional PBE-GGA.

```
RbMoRh2
1.0
7.4558 0.0000 0.0000
0.0000 7.4558 0.0000
3.7279 3.7279 3.4840
Mo Rh Rb
2 4 2
Direct
0.0000 0.0000 0.0000
0.7500 0.2500 0.5000
0.7074 0.1250 0.2500
0.0426 0.6250 0.2500
0.3750 0.2926 0.7500
0.8750 0.9574 0.7500
0.5000 0.5000 0.0000
0.2500 0.7500 0.5000
```

Properties
Size of the total moment   0.00 Bohr magnetons per cell
Formation enthalpy at 0 K   93.9 kJ per mole of atoms
Symmetry   No. 122
Relative energy among the computed polymorphs   0.00 eV per formula unit
Density of states at the Fermi level   1.424 states/eV/atom
Total energy   -5.652 eV/atom

=====

[4]
A geometry-optimized RbMo2Rh structure. Source: Alexandria via LeMat-Bulk, functional PBE-GGA.

```
RbMo2Rh
1.0
4.9819 0.0000 0.0000
0.0000 4.9819 0.0000
2.4910 2.4910 8.8668
Mo Rh Rb
4 2 2
Direct
0.8741 0.1250 0.2500
0.8759 0.6250 0.2500
0.3750 0.1259 0.7500
0.8750 0.1241 0.7500
0.0000 0.0000 0.0000
0.7500 0.2500 0.5000
0.5000 0.5000 0.0000
0.2500 0.7500 0.5000
```

Properties
Size of the total moment   0.00 Bohr magnetons per cell
Formation enthalpy at 0 K   151.7 kJ per mole of atoms
Symmetry   No. 141
Relative energy among the computed polymorphs   0.00 eV per formula unit
Density of states at the Fermi level   1.424 states/eV/atom
Total energy   -5.923 eV/atom

=====

[5]
A geometry-optimized RbMo2Rh structure. Source: Alexandria via LeMat-Bulk, functional PBE-GGA.

```
RbMo2Rh
1.0
0.0000 3.2739 3.2739
3.2739 0.0000 3.2739
3.2739 3.2739 0.0000
Mo Rh Rb
2 1 1
Direct
0.2500 0.2500 0.2500
0.7500 0.7500 0.7500
0.5000 0.5000 0.5000
0.0000 0.0000 0.0000
```

Properties
Size of the total moment   0.00 Bohr magnetons per cell
Formation enthalpy at 0 K   156.9 kJ per mole of atoms
Symmetry   No. 225
Relative energy among the computed polymorphs   0.22 eV per formula unit
Density of states at the Fermi level   1.403 states/eV/atom
Total energy   -5.869 eV/atom

=====

[6]
A geometry-optimized Rb2MoRh structure. Source: Alexandria via LeMat-Bulk, functional PBE-GGA.

```
Rb2MoRh
1.0
-2.8953 -2.0627 4.4218
-2.8638 3.5192 3.4064
-5.6732 0.0201 -0.0654
Mo Rh Rb
1 1 2
Direct
0.0000 0.0000 0.0000
0.5000 0.5000 0.5000
0.2500 0.2500 0.2500
0.7500 0.7500 0.7500
```

Properties
Size of the total moment   4.96 Bohr magnetons per cell
Formation enthalpy at 0 K   173.9 kJ per mole of atoms
Symmetry   No. 225
Relative energy among the computed polymorphs   2.67 eV per formula unit
Density of states at the Fermi level   0.536 states/eV/atom
Total energy   -3.227 eV/atom

=====

[7]
A geometry-optimized RbTeMoRh2 structure. Source: Alexandria via LeMat-Bulk, functional PBE-GGA.

```
RbTeMoRh2
1.0
-1.8160 -4.5572 -1.0891
1.3012 0.6316 -4.8125
4.6491 -2.0875 0.9831
Mo Te Rh Rb
1 1 2 1
Direct
0.0000 0.0000 0.5000
0.0000 0.0000 0.0000
0.0000 0.5000 0.0000
0.5000 0.0000 0.0000
0.5000 0.5000 0.5000
```

Properties
Size of the total moment   3.05 Bohr magnetons per cell
Formation energy without anion corrections   4.98 eV/f.u.
Symmetry   No. 123
Density of states at the Fermi level   1.025 states/eV/atom
Total energy   -4.933 eV/atom

=====

[8]
A geometry-optimized RbVMoRh2 structure. Source: Alexandria via LeMat-Bulk, functional PBE-GGA.

```
RbVMoRh2
1.0
4.6499 0.0000 0.0000
0.0000 4.7976 0.0000
0.0000 0.0000 4.6499
Mo Rh Rb V
1 2 1 1
Direct
0.0000 0.5000 0.0000
0.0000 0.0000 0.5000
0.5000 0.0000 0.0000
0.0000 0.0000 0.0000
0.5000 0.5000 0.5000
```

Properties
Size of the total moment   1.35 Bohr magnetons per cell
Formation enthalpy at 0 K   281.0 kJ per mole of atoms
Symmetry   No. 123
Density of states at the Fermi level   1.832 states/eV/atom
Total energy   -4.212 eV/atom